BSbRhI2 | PBE | optimized geometry

```
BSbRhI2
1.0
5.599 0.000 0.000
0.000 5.599 0.000
0.000 0.000 4.945
B Sb Rh I
1 1 1 2
Cartesian
0.000 0.000 0.000
2.800 2.800 0.000
2.800 2.800 2.473
0.000 2.800 2.473
2.800 0.000 2.473
```

Calculated values
For the relative energy among the computed polymorphs, the calculation gives 0.000 eV per atom.